No. 1
Computed, not measured: CuTe2IF after structural relaxation at the PBE level of DFT.

a = 5.084 Å, b = 5.084 Å, c = 5.276 Å
α = 90.00°, β = 90.00°, γ = 90.00°
Sites, in units of the cell vectors:
Cu (0.000, 0.000, 0.000)
I (0.000, 0.000, 0.500)
Te (0.500, 0.000, 0.000)
Te (0.000, 0.500, 0.000)
F (0.500, 0.500, 0.500)

Output
* formation energy (no corrections): 0.1792 eV/atom
* energy relative to the lowest polymorph listed for this composition: 0.00 kJ/mol of atoms



No. 2
Computed, not measured: PmTlAgPb after structural relaxation at the PBE level of DFT.

a = 5.332 Å, b = 5.332 Å, c = 5.332 Å
α = 60.00°, β = 60.00°, γ = 60.00°
Sites, in units of the cell vectors:
Pm (0.000, 0.000, 0.000)
Pb (0.500, 0.500, 0.500)
Tl (0.750, 0.750, 0.750)
Ag (0.250, 0.250, 0.250)

Output
* calculated formation energy: -0.16 eV per atom
* energy relative to the lowest polymorph listed for this composition: 12.13 kJ/mol of atoms



No. 3
Computed, not measured: Sc2OsRu after structural relaxation at the PBE level of DFT.

a = 4.541 Å, b = 4.541 Å, c = 4.541 Å
α = 60.00°, β = 60.00°, γ = 60.00°
Sites, in units of the cell vectors:
Sc (0.000, 0.000, 0.000)
Sc (0.250, 0.250, 0.250)
Os (0.500, 0.500, 0.500)
Ru (0.750, 0.750, 0.750)

Output
* calculated formation energy: -0.11 eV per atom



No. 4
Computed, not measured: Ca3HfGa after structural relaxation at the PBE level of DFT.

a = 5.759 Å, b = 5.759 Å, c = 5.759 Å
α = 90.00°, β = 90.00°, γ = 90.00°
Sites, in units of the cell vectors:
Ga (0.500, 0.500, 0.500)
Ca (0.500, 0.000, 0.000)
Ca (0.000, 0.000, 0.500)
Ca (0.000, 0.500, 0.000)
Hf (0.000, 0.000, 0.000)

Output
* calculated formation energy: 1.01 eV per atom
* energy relative to the lowest polymorph listed for this composition: 43.53 kJ/mol of atoms



No. 5
Computed, not measured: CdAs2Ru after structural relaxation at the PBE level of DFT.

a = 4.464 Å, b = 3.763 Å, c = 4.861 Å
α = 67.49°, β = 90.00°, γ = 90.00°
Sites, in units of the cell vectors:
As (0.500, 0.236, 0.155)
As (0.000, 0.808, 0.011)
Ru (0.500, 0.934, 0.755)
Cd (0.000, 0.521, 0.578)

Output
* calculated formation energy: 0.15 eV per atom



No. 6
Computed, not measured: In2TeMo after structural relaxation at the PBE level of DFT.

a = 4.939 Å, b = 4.939 Å, c = 3.701 Å
α = 90.00°, β = 90.00°, γ = 90.00°
Sites, in units of the cell vectors:
Mo (0.500, 0.000, 0.500)
In (0.000, 0.000, 0.000)
In (0.500, 0.500, 0.000)
Te (0.000, 0.500, 0.500)

Output
* formation energy (no corrections): 0.5515 eV/atom



No. 7
Computed, not measured: TlBI3 after structural relaxation at the PBE level of DFT.

a = 5.350 Å, b = 5.350 Å, c = 5.350 Å
α = 90.00°, β = 90.00°, γ = 90.00°
Sites, in units of the cell vectors:
Tl (0.500, 0.500, 0.500)
I (0.000, 0.000, 0.500)
I (0.500, 0.000, 0.000)
I (0.000, 0.500, 0.000)
B (0.000, 0.000, 0.000)

Output
* formation energy (no corrections): 0.3258 eV/atom
* energy relative to the lowest polymorph listed for this composition: 58.21 kJ/mol of atoms



No. 8
Computed, not measured: MgCoSiIr after structural relaxation at the PBE level of DFT.

a = 4.169 Å, b = 4.169 Å, c = 4.169 Å
α = 60.00°, β = 60.00°, γ = 60.00°
Sites, in units of the cell vectors:
Si (0.750, 0.750, 0.750)
Ir (0.500, 0.500, 0.500)
Co (0.000, 0.000, 0.000)
Mg (0.250, 0.250, 0.250)

Output
* formation energy (no corrections): -0.4325 eV/atom



No. 9
Computed, not measured: Na3PuU2S6 after structural relaxation at the PBE level of DFT.

a = 6.919 Å, b = 6.919 Å, c = 7.087 Å
α = 99.37°, β = 99.37°, γ = 120.00°
Sites, in units of the cell vectors:
S (0.924, 0.585, 0.771)
S (0.263, 0.263, 0.771)
S (0.737, 0.737, 0.229)
S (0.415, 0.076, 0.229)
S (0.585, 0.924, 0.771)
S (0.076, 0.415, 0.229)
U (0.333, 0.667, 0.000)
U (0.667, 0.333, 0.000)
Na (0.834, 0.166, 0.500)
Na (0.166, 0.834, 0.500)
Na (0.500, 0.500, 0.500)
Pu (0.000, 0.000, 0.000)

Output
* formation energy (no corrections): -1.4332 eV/atom



No. 10
Computed, not measured: Ce3Co3Si2 after structural relaxation at the PBE level of DFT.

a = 6.091 Å, b = 7.419 Å, c = 12.878 Å
α = 90.00°, β = 90.00°, γ = 90.00°
Sites, in units of the cell vectors:
Si (0.116, 0.815, 0.588)
Si (0.884, 0.185, 0.088)
Si (0.116, 0.815, 0.912)
Si (0.616, 0.685, 0.412)
Si (0.884, 0.185, 0.412)
Si (0.384, 0.315, 0.588)
Si (0.384, 0.315, 0.912)
Si (0.616, 0.685, 0.088)
Ce (0.610, 0.390, 0.250)
Ce (0.144, 0.531, 0.397)
Ce (0.890, 0.890, 0.250)
Ce (0.110, 0.110, 0.750)
Ce (0.856, 0.469, 0.897)
Ce (0.644, 0.969, 0.603)
Ce (0.390, 0.610, 0.750)
Ce (0.356, 0.031, 0.397)
Ce (0.644, 0.969, 0.897)
Ce (0.856, 0.469, 0.603)
Ce (0.356, 0.031, 0.103)
Ce (0.144, 0.531, 0.103)
Co (0.888, 0.882, 0.448)
Co (0.424, 0.733, 0.250)
Co (0.612, 0.382, 0.052)
Co (0.576, 0.267, 0.750)
Co (0.112, 0.118, 0.948)
Co (0.112, 0.118, 0.552)
Co (0.388, 0.618, 0.948)
Co (0.076, 0.233, 0.250)
Co (0.924, 0.767, 0.750)
Co (0.388, 0.618, 0.552)
Co (0.888, 0.882, 0.052)
Co (0.612, 0.382, 0.448)

Output
* formation energy (no corrections): -0.6072 eV/atom



No. 11
Computed, not measured: TaTe2AuN after structural relaxation at the PBE level of DFT.

a = 5.537 Å, b = 5.537 Å, c = 3.887 Å
α = 90.00°, β = 90.00°, γ = 90.00°
Sites, in units of the cell vectors:
Te (0.000, 0.500, 0.000)
Te (0.500, 0.000, 0.000)
Ta (0.000, 0.000, 0.000)
Au (0.500, 0.500, 0.500)
N (0.000, 0.000, 0.500)

Output
* formation energy (no corrections): 0.2704 eV/atom
* energy relative to the lowest polymorph listed for this composition: 0.00 kJ/mol of atoms



No. 12
Computed, not measured: InSi2Mo after structural relaxation at the PBE level of DFT.

a = 3.329 Å, b = 4.673 Å, c = 4.285 Å
α = 90.00°, β = 90.00°, γ = 90.00°
Sites, in units of the cell vectors:
In (0.500, 0.000, 0.500)
Mo (0.000, 0.500, 0.500)
Si (0.000, 0.000, 0.000)
Si (0.500, 0.500, 0.000)

Output
* formation energy (no corrections): 0.5282 eV/atom



Number 1: density of states at the Fermi level 1.031 states/eV per atom, M_tot 0.0 μB per formula unit. Number 2: density of states at the Fermi level 0.563 states/eV per atom, M_tot 0.0 μB per formula unit. Number 3: density of states at the Fermi level 1.285 states/eV per atom, M_tot 0.0 μB per formula unit. Number 4: density of states at the Fermi level 1.354 states/eV per atom, M_tot 0.4 μB per formula unit. Number 5: density of states at the Fermi level 0.570 states/eV per atom, M_tot 0.0 μB per formula unit. Number 6: density of states at the Fermi level 0.827 states/eV per atom, M_tot 1.1 μB per formula unit. Number 7: density of states at the Fermi level 0.297 states/eV per atom, M_tot 0.0 μB per formula unit. Number 8: density of states at the Fermi level 0.420 states/eV per atom, M_tot 0.2 μB per formula unit. Number 9: density of states at the Fermi level 1.579 states/eV per atom, M_tot 11.0 μB per formula unit. Number 10: density of states at the Fermi level 1.040 states/eV per atom, M_tot 0.0 μB per formula unit. Number 11: density of states at the Fermi level 0.719 states/eV per atom, M_tot 0.0 μB per formula unit. Number 12: density of states at the Fermi level 0.719 states/eV per atom, M_tot 0.0 μB per formula unit.